Here is a relaxed structure of LaSmPO from OQMD via LeMat-Bulk. Energies are from PBE.

Results
Energy relative to the lowest polymorph listed for this composition (eV per formula unit): 0.00

CIF file:
```
data_LaSmPO
_chemical_formula_sum 'La2 Sm2 P2 O2'
_space_group_name_H-M_alt 'P m c 21'
_space_group_IT_number 26
_cell_length_a 4.334
_cell_length_b 7.767
_cell_length_c 6.047
_cell_angle_alpha 90.00
_cell_angle_beta 90.00
_cell_angle_gamma 90.00
loop_
_space_group_symop_operation_xyz
'x,y,z'
'-x,-y,z+1/2'
'-x,y,z'
'x,-y,z+1/2'
loop_
_atom_site_label
_atom_site_type_symbol
_atom_site_fract_x
_atom_site_fract_y
_atom_site_fract_z
_atom_site_occupancy
La1 La 0.000 0.200 0.000 1
Sm1 Sm 0.500 0.378 0.559 1
P1 P 0.000 0.169 0.497 1
O1 O 0.500 0.335 0.936 1
```